(1)
A plane-wave DFT calculation with GGA-PBE was carried out for a relaxed Ni17Sb crystal.

Unit cell a=4.283 b=4.951 c=30.815 alpha=90.00 beta=90.02 gamma=90.00
Fractional coordinates of all 36 atoms:
Ni (0.000, 0.000, 0.000)
Ni (0.000, 0.001, 0.196)
Ni (0.000, 0.499, 0.196)
Ni (0.000, 0.500, 0.000)
Ni (0.000, 0.501, 0.804)
Ni (0.000, 0.999, 0.804)
Ni (0.166, 0.250, 0.066)
Ni (0.167, 0.250, 0.870)
Ni (0.167, 0.750, 0.869)
Ni (0.168, 0.750, 0.065)
Ni (0.170, 0.750, 0.261)
Ni (0.332, 0.000, 0.131)
Ni (0.332, 0.500, 0.131)
Ni (0.333, 0.000, 0.935)
Ni (0.333, 0.005, 0.739)
Ni (0.333, 0.495, 0.739)
Ni (0.333, 0.500, 0.935)
Ni (0.497, 0.250, 0.196)
Ni (0.499, 0.750, 0.196)
Ni (0.500, 0.250, 0.000)
Ni (0.500, 0.750, 0.000)
Ni (0.501, 0.250, 0.804)
Ni (0.503, 0.750, 0.804)
Ni (0.667, 0.000, 0.065)
Ni (0.667, 0.500, 0.065)
Ni (0.667, 0.505, 0.261)
Ni (0.667, 0.995, 0.261)
Ni (0.668, 0.000, 0.869)
Ni (0.668, 0.500, 0.869)
Ni (0.830, 0.250, 0.739)
Ni (0.832, 0.250, 0.935)
Ni (0.833, 0.250, 0.131)
Ni (0.833, 0.750, 0.130)
Ni (0.834, 0.750, 0.934)
Sb (0.167, 0.250, 0.279)
Sb (0.833, 0.750, 0.721)

Properties
E above lowest polymorph = 0.17 eV/f.u.
Symmetry = No. 11

=====

(2)
A plane-wave DFT calculation with GGA-PBE was carried out for a relaxed NiSb crystal.

Unit cell a=5.690 b=5.690 c=5.690 alpha=90.00 beta=90.00 gamma=90.00
Fractional coordinates of all 8 atoms:
Ni (0.000, 0.000, 0.000)
Ni (0.000, 0.500, 0.500)
Ni (0.500, 0.000, 0.500)
Ni (0.500, 0.500, 0.000)
Sb (0.250, 0.250, 0.750)
Sb (0.250, 0.750, 0.250)
Sb (0.750, 0.250, 0.250)
Sb (0.750, 0.750, 0.750)

Properties
Symmetry = No. 216

=====

(3)
A plane-wave DFT calculation with GGA-PBE was carried out for a relaxed NiSb3 crystal.

Unit cell a=7.827 b=7.827 c=3.731 alpha=90.00 beta=90.00 gamma=120.00
Fractional coordinates of all 8 atoms:
Ni (0.333, 0.667, 0.250)
Ni (0.667, 0.333, 0.750)
Sb (0.198, 0.396, 0.750)
Sb (0.198, 0.802, 0.750)
Sb (0.396, 0.198, 0.250)
Sb (0.604, 0.802, 0.750)
Sb (0.802, 0.198, 0.250)
Sb (0.802, 0.604, 0.250)

Properties
E above lowest polymorph = 0.89 eV/f.u.
Symmetry = No. 194

=====

(4)
A plane-wave DFT calculation with GGA-PBE was carried out for a relaxed NiSb crystal.

Unit cell a=3.571 b=3.571 c=3.316 alpha=90.00 beta=90.00 gamma=120.00
Fractional coordinates of all 2 atoms:
Ni (0.000, 0.000, 0.000)
Sb (0.667, 0.333, 0.500)

Properties
Symmetry = No. 187

=====

(5)
A plane-wave DFT calculation with GGA-PBE was carried out for a relaxed Ni15Sb crystal.

Unit cell a=5.149 b=2.951 c=33.464 alpha=90.00 beta=90.00 gamma=90.00
Fractional coordinates of all 32 atoms:
Ni (0.000, 0.000, 0.000)
Ni (0.000, 0.000, 0.083)
Ni (0.000, 0.000, 0.168)
Ni (0.000, 0.000, 0.253)
Ni (0.000, 0.000, 0.338)
Ni (0.000, 0.000, 0.914)
Ni (0.001, 0.000, 0.423)
Ni (0.248, 0.500, 0.957)
Ni (0.250, 0.500, 0.125)
Ni (0.250, 0.500, 0.211)
Ni (0.250, 0.500, 0.296)
Ni (0.250, 0.500, 0.380)
Ni (0.250, 0.500, 0.464)
Ni (0.251, 0.500, 0.041)
Ni (0.499, 0.000, 0.423)
Ni (0.500, 0.000, 0.083)
Ni (0.500, 0.000, 0.168)
Ni (0.500, 0.000, 0.253)
Ni (0.500, 0.000, 0.338)
Ni (0.500, 0.000, 0.999)
Ni (0.502, 0.000, 0.506)
Ni (0.749, 0.500, 0.041)
Ni (0.750, 0.500, 0.125)
Ni (0.750, 0.500, 0.211)
Ni (0.750, 0.500, 0.296)
Ni (0.750, 0.500, 0.380)
Ni (0.750, 0.500, 0.463)
Ni (0.750, 0.500, 0.550)
Ni (0.752, 0.500, 0.957)
Ni (0.998, 0.000, 0.506)
Sb (0.250, 0.500, 0.560)
Sb (0.500, 0.000, 0.904)

Properties
E above lowest polymorph = 1.19 eV/f.u.
Symmetry = No. 6

=====

(6)
A plane-wave DFT calculation with GGA-PBE was carried out for a relaxed NiSb2 crystal.

Unit cell a=7.679 b=7.679 c=7.679 alpha=60.00 beta=60.00 gamma=60.00
Fractional coordinates of all 6 atoms:
Ni (0.125, 0.125, 0.125)
Ni (0.875, 0.875, 0.875)
Sb (0.000, 0.000, 0.000)
Sb (0.000, 0.000, 0.500)
Sb (0.000, 0.500, 0.000)
Sb (0.500, 0.000, 0.000)

Properties
Symmetry = No. 227

=====

(7)
A plane-wave DFT calculation with GGA-PBE was carried out for a relaxed ScNi2Sb crystal.

Unit cell a=6.315 b=6.315 c=6.315 alpha=90.00 beta=90.00 gamma=90.00
Fractional coordinates of all 16 atoms:
Sc (0.000, 0.000, 0.000)
Sc (0.000, 0.500, 0.500)
Sc (0.500, 0.000, 0.500)
Sc (0.500, 0.500, 0.000)
Ni (0.000, 0.000, 0.500)
Ni (0.000, 0.500, 0.000)
Ni (0.250, 0.250, 0.250)
Ni (0.250, 0.750, 0.750)
Ni (0.500, 0.000, 0.000)
Ni (0.500, 0.500, 0.500)
Ni (0.750, 0.250, 0.750)
Ni (0.750, 0.750, 0.250)
Sb (0.250, 0.250, 0.750)
Sb (0.250, 0.750, 0.250)
Sb (0.750, 0.250, 0.250)
Sb (0.750, 0.750, 0.750)

Properties
Symmetry = No. 216

=====

(8)
A plane-wave DFT calculation with GGA-PBE was carried out for a relaxed Sc3Ni4Sb4 crystal.

Unit cell a=7.944 b=7.944 c=7.944 alpha=149.31 beta=128.53 gamma=61.13
Fractional coordinates of all 11 atoms:
Sc (0.000, 0.000, 0.000)
Sc (0.370, 0.870, 0.500)
Sc (0.630, 0.130, 0.500)
Ni (0.019, 0.322, 0.697)
Ni (0.375, 0.678, 0.697)
Ni (0.625, 0.322, 0.303)
Ni (0.981, 0.678, 0.303)
Sb (0.214, 0.214, 0.000)
Sb (0.288, 0.500, 0.788)
Sb (0.712, 0.500, 0.212)
Sb (0.786, 0.786, 0.000)

Properties
Symmetry = No. 71

=====

(9)
A plane-wave DFT calculation with GGA-PBE was carried out for a relaxed ScNiSbW crystal.

Unit cell a=6.527 b=6.527 c=6.527 alpha=90.00 beta=90.00 gamma=90.00
Fractional coordinates of all 16 atoms:
Sc (0.000, 0.000, 0.000)
Sc (0.000, 0.500, 0.500)
Sc (0.500, 0.000, 0.500)
Sc (0.500, 0.500, 0.000)
Ni (0.000, 0.000, 0.500)
Ni (0.000, 0.500, 0.000)
Ni (0.500, 0.000, 0.000)
Ni (0.500, 0.500, 0.500)
Sb (0.250, 0.250, 0.250)
Sb (0.250, 0.750, 0.750)
Sb (0.750, 0.250, 0.750)
Sb (0.750, 0.750, 0.250)
W (0.250, 0.250, 0.750)
W (0.250, 0.750, 0.250)
W (0.750, 0.250, 0.250)
W (0.750, 0.750, 0.750)

Properties
Symmetry = No. 216

=====

(10)
A plane-wave DFT calculation with GGA-PBE was carried out for a relaxed ScZnNiSb crystal.

Unit cell a=6.507 b=6.507 c=6.507 alpha=90.00 beta=90.00 gamma=90.00
Fractional coordinates of all 16 atoms:
Sc (0.000, 0.000, 0.000)
Sc (0.000, 0.500, 0.500)
Sc (0.500, 0.000, 0.500)
Sc (0.500, 0.500, 0.000)
Zn (0.250, 0.250, 0.750)
Zn (0.250, 0.750, 0.250)
Zn (0.750, 0.250, 0.250)
Zn (0.750, 0.750, 0.750)
Ni (0.250, 0.250, 0.250)
Ni (0.250, 0.750, 0.750)
Ni (0.750, 0.250, 0.750)
Ni (0.750, 0.750, 0.250)
Sb (0.000, 0.000, 0.500)
Sb (0.000, 0.500, 0.000)
Sb (0.500, 0.000, 0.000)
Sb (0.500, 0.500, 0.500)

Properties
E above lowest polymorph = 0.00 eV/f.u.
Symmetry = No. 216

=====

(11)
A plane-wave DFT calculation with GGA-PBE was carried out for a relaxed ScZnNiSb crystal.

Unit cell a=6.555 b=6.555 c=6.555 alpha=90.00 beta=90.00 gamma=90.00
Fractional coordinates of all 16 atoms:
Sc (0.000, 0.000, 0.000)
Sc (0.000, 0.500, 0.500)
Sc (0.500, 0.000, 0.500)
Sc (0.500, 0.500, 0.000)
Zn (0.250, 0.250, 0.250)
Zn (0.250, 0.750, 0.750)
Zn (0.750, 0.250, 0.750)
Zn (0.750, 0.750, 0.250)
Ni (0.000, 0.000, 0.500)
Ni (0.000, 0.500, 0.000)
Ni (0.500, 0.000, 0.000)
Ni (0.500, 0.500, 0.500)
Sb (0.250, 0.250, 0.750)
Sb (0.250, 0.750, 0.250)
Sb (0.750, 0.250, 0.250)
Sb (0.750, 0.750, 0.750)

Properties
E above lowest polymorph = 0.11 eV/f.u.
Symmetry = No. 216

=====

(12)
A plane-wave DFT calculation with GGA-PBE was carried out for a relaxed ScZnNiSb crystal.

Unit cell a=6.559 b=6.559 c=6.559 alpha=90.00 beta=90.00 gamma=90.00
Fractional coordinates of all 16 atoms:
Sc (0.000, 0.000, 0.000)
Sc (0.000, 0.500, 0.500)
Sc (0.500, 0.000, 0.500)
Sc (0.500, 0.500, 0.000)
Zn (0.000, 0.000, 0.500)
Zn (0.000, 0.500, 0.000)
Zn (0.500, 0.000, 0.000)
Zn (0.500, 0.500, 0.500)
Ni (0.250, 0.250, 0.750)
Ni (0.250, 0.750, 0.250)
Ni (0.750, 0.250, 0.250)
Ni (0.750, 0.750, 0.750)
Sb (0.250, 0.250, 0.250)
Sb (0.250, 0.750, 0.750)
Sb (0.750, 0.250, 0.750)
Sb (0.750, 0.750, 0.250)

Properties
E above lowest polymorph = 0.45 eV/f.u.
Symmetry = No. 216

=====

(13)
A plane-wave DFT calculation with GGA-PBE was carried out for a relaxed TlNiSbSe3 crystal.

Unit cell a=7.418 b=7.418 c=11.000 alpha=90.00 beta=90.00 gamma=148.63
Fractional coordinates of all 12 atoms:
Tl (0.248, 0.752, 0.750)
Tl (0.752, 0.248, 0.250)
Ni (0.469, 0.531, 0.250)
Ni (0.531, 0.469, 0.750)
Sb (0.000, 0.000, 0.000)
Sb (0.000, 0.000, 0.500)
Se (0.062, 0.938, 0.250)
Se (0.369, 0.631, 0.072)
Se (0.369, 0.631, 0.428)
Se (0.631, 0.369, 0.572)
Se (0.631, 0.369, 0.928)
Se (0.938, 0.062, 0.750)

Properties
Symmetry = No. 63

=====

(14)
A plane-wave DFT calculation with GGA-PBE was carried out for a relaxed SmNiSb3 crystal.

Unit cell a=12.495 b=6.235 c=18.424 alpha=90.00 beta=90.00 gamma=90.00
Fractional coordinates of all 60 atoms:
Sm (0.194, 0.061, 0.250)
Sm (0.194, 0.439, 0.750)
Sm (0.200, 0.528, 0.084)
Sm (0.200, 0.528, 0.416)
Sm (0.200, 0.972, 0.584)
Sm (0.200, 0.972, 0.916)
Sm (0.800, 0.028, 0.084)
Sm (0.800, 0.028, 0.416)
Sm (0.800, 0.472, 0.584)
Sm (0.800, 0.472, 0.916)
Sm (0.806, 0.561, 0.250)
Sm (0.806, 0.939, 0.750)
Ni (0.395, 0.250, 0.000)
Ni (0.395, 0.250, 0.500)
Ni (0.399, 0.673, 0.676)
Ni (0.399, 0.673, 0.824)
Ni (0.399, 0.827, 0.176)
Ni (0.399, 0.827, 0.324)
Ni (0.601, 0.173, 0.676)
Ni (0.601, 0.173, 0.824)
Ni (0.601, 0.327, 0.176)
Ni (0.601, 0.327, 0.324)
Ni (0.605, 0.750, 0.000)
Ni (0.605, 0.750, 0.500)
Sb (0.004, 0.250, 0.000)
Sb (0.004, 0.250, 0.500)
Sb (0.004, 0.704, 0.666)
Sb (0.004, 0.704, 0.834)
Sb (0.004, 0.796, 0.166)
Sb (0.004, 0.796, 0.334)
Sb (0.271, 0.026, 0.084)
Sb (0.271, 0.026, 0.416)
Sb (0.271, 0.474, 0.584)
Sb (0.271, 0.474, 0.916)
Sb (0.274, 0.554, 0.250)
Sb (0.274, 0.946, 0.750)
Sb (0.442, 0.185, 0.250)
Sb (0.442, 0.315, 0.750)
Sb (0.474, 0.542, 0.087)
Sb (0.474, 0.542, 0.413)
Sb (0.474, 0.958, 0.587)
Sb (0.474, 0.958, 0.913)
Sb (0.526, 0.042, 0.087)
Sb (0.526, 0.042, 0.413)
Sb (0.526, 0.458, 0.587)
Sb (0.526, 0.458, 0.913)
Sb (0.558, 0.685, 0.250)
Sb (0.558, 0.815, 0.750)
Sb (0.726, 0.054, 0.250)
Sb (0.726, 0.446, 0.750)
Sb (0.729, 0.526, 0.084)
Sb (0.729, 0.526, 0.416)
Sb (0.729, 0.974, 0.584)
Sb (0.729, 0.974, 0.916)
Sb (0.996, 0.204, 0.666)
Sb (0.996, 0.204, 0.834)
Sb (0.996, 0.296, 0.166)
Sb (0.996, 0.296, 0.334)
Sb (0.996, 0.750, 0.000)
Sb (0.996, 0.750, 0.500)

Properties
Symmetry = No. 57

=====

(15)
A plane-wave DFT calculation with GGA-PBE was carried out for a relaxed SmNiSb2 crystal.

Unit cell a=4.386 b=4.386 c=9.592 alpha=90.00 beta=90.00 gamma=90.00
Fractional coordinates of all 8 atoms:
Sm (0.250, 0.250, 0.239)
Sm (0.750, 0.750, 0.761)
Ni (0.250, 0.750, 0.000)
Ni (0.750, 0.250, 0.000)
Sb (0.250, 0.250, 0.863)
Sb (0.250, 0.750, 0.500)
Sb (0.750, 0.250, 0.500)
Sb (0.750, 0.750, 0.137)

Properties
Symmetry = No. 129

=====

(16)
A plane-wave DFT calculation with GGA-PBE was carried out for a relaxed Ni2Sn3Sb2 crystal.

Unit cell a=10.251 b=10.251 c=10.251 alpha=23.94 beta=23.94 gamma=23.94
Fractional coordinates of all 7 atoms:
Ni (0.000, 0.000, 0.000)
Ni (0.455, 0.455, 0.455)
Sn (0.093, 0.093, 0.093)
Sn (0.363, 0.363, 0.363)
Sn (0.831, 0.831, 0.831)
Sb (0.225, 0.225, 0.225)
Sb (0.625, 0.625, 0.625)

Properties
Symmetry = No. 160

=====

(17)
A plane-wave DFT calculation with GGA-PBE was carried out for a relaxed NiSn2Sb crystal.

Unit cell a=7.128 b=7.128 c=7.128 alpha=90.00 beta=90.00 gamma=90.00
Fractional coordinates of all 16 atoms:
Ni (0.000, 0.000, 0.000)
Ni (0.000, 0.500, 0.500)
Ni (0.500, 0.000, 0.500)
Ni (0.500, 0.500, 0.000)
Sn (0.000, 0.000, 0.500)
Sn (0.000, 0.500, 0.000)
Sn (0.250, 0.250, 0.250)
Sn (0.250, 0.750, 0.750)
Sn (0.500, 0.000, 0.000)
Sn (0.500, 0.500, 0.500)
Sn (0.750, 0.250, 0.750)
Sn (0.750, 0.750, 0.250)
Sb (0.250, 0.250, 0.750)
Sb (0.250, 0.750, 0.250)
Sb (0.750, 0.250, 0.250)
Sb (0.750, 0.750, 0.750)

Properties
Symmetry = No. 216

=====

(18)
A plane-wave DFT calculation with GGA-PBE was carried out for a relaxed Ni3Sn2Sb2 crystal.

Unit cell a=8.256 b=8.256 c=8.256 alpha=30.98 beta=30.98 gamma=30.98
Fractional coordinates of all 7 atoms:
Ni (0.000, 0.000, 0.000)
Ni (0.246, 0.246, 0.246)
Ni (0.744, 0.744, 0.744)
Sn (0.123, 0.123, 0.123)
Sn (0.618, 0.618, 0.618)
Sb (0.371, 0.371, 0.371)
Sb (0.869, 0.869, 0.869)

Properties
Symmetry = No. 160

=====

(19)
A plane-wave DFT calculation with GGA-PBE was carried out for a relaxed SrNi2SnSb crystal.

Unit cell a=4.472 b=4.472 c=10.479 alpha=90.00 beta=90.00 gamma=90.00
Fractional coordinates of all 10 atoms:
Sr (0.250, 0.250, 0.241)
Sr (0.750, 0.750, 0.759)
Ni (0.250, 0.250, 0.631)
Ni (0.250, 0.750, 0.000)
Ni (0.750, 0.250, 0.000)
Ni (0.750, 0.750, 0.369)
Sn (0.250, 0.750, 0.500)
Sn (0.750, 0.250, 0.500)
Sb (0.250, 0.250, 0.876)
Sb (0.750, 0.750, 0.124)

Properties
Symmetry = No. 129

=====

(20)
A plane-wave DFT calculation with GGA-PBE was carried out for a relaxed TaNi6Sb crystal.

Unit cell a=4.252 b=5.185 c=4.532 alpha=90.00 beta=90.00 gamma=90.00
Fractional coordinates of all 8 atoms:
Ta (0.000, 0.000, 0.000)
Ni (0.000, 0.250, 0.492)
Ni (0.000, 0.500, 0.012)
Ni (0.000, 0.750, 0.492)
Ni (0.500, 0.000, 0.654)
Ni (0.500, 0.248, 0.168)
Ni (0.500, 0.752, 0.168)
Sb (0.500, 0.500, 0.672)

Properties
Symmetry = No. 25

=====

Number 1: calculated total energy -5.4339 eV per atom. Number 2: calculated total energy -4.6723 eV per atom. Number 3: calculated total energy -4.4100 eV per atom. Number 4: calculated total energy -4.7858 eV per atom. Number 5: calculated total energy -5.3721 eV per atom. Number 6: calculated total energy -3.8989 eV per atom. Number 7: calculated total energy -5.6685 eV per atom. Number 8: calculated total energy -5.8982 eV per atom. Number 9: calculated total energy -6.7729 eV per atom. Number 10: calculated total energy -4.5978 eV per atom. Number 11: calculated total energy -4.5697 eV per atom. Number 12: calculated total energy -4.4856 eV per atom. Number 13: calculated total energy -3.9413 eV per atom. Number 14: calculated total energy -5.1413 eV per atom. Number 15: calculated total energy -5.3580 eV per atom. Number 16: calculated total energy -4.5220 eV per atom. Number 17: calculated total energy -4.0976 eV per atom. Number 18: calculated total energy -4.7050 eV per atom. Number 19: calculated total energy -4.7095 eV per atom. Number 20: calculated total energy -6.3959 eV per atom.